Version 1
# YPbBr2, relaxed, DFT GGA-PBE
data_YPbBr2
_chemical_formula_sum 'Y3 Pb3 Br6'
_symmetry_space_group_name_H-M 'R -3 m'
_symmetry_Int_Tables_number 166
_symmetry_space_group_name_Hall '-R 3 2"'
_cell_length_a 3.6892
_cell_length_b 3.6892
_cell_length_c 32.4172
_cell_angle_alpha 90.00
_cell_angle_beta 90.00
_cell_angle_gamma 120.00
loop_
_atom_site_label
_atom_site_type_symbol
_atom_site_fract_x
_atom_site_fract_y
_atom_site_fract_z
_atom_site_occupancy
Y1 Y 0.0000 0.0000 0.0000 1
Pb1 Pb 0.0000 0.0000 0.5000 1
Br1 Br 0.0000 0.0000 0.3933 1
# Total moment in μB/cell: 0.00



Version 2
# YPbBr2, relaxed, DFT GGA-PBE
data_YPbBr2
_chemical_formula_sum 'Y1 Pb1 Br2'
_symmetry_space_group_name_H-M 'P 1 2/m 1'
_symmetry_Int_Tables_number 10
_cell_length_a 3.9319
_cell_length_b 5.0398
_cell_length_c 5.9609
_cell_angle_alpha 90.00
_cell_angle_beta 91.10
_cell_angle_gamma 90.00
loop_
_symmetry_equiv_pos_as_xyz
'x,y,z'
'-x,-y,-z'
'-x,y,-z'
'x,-y,z'
loop_
_atom_site_label
_atom_site_type_symbol
_atom_site_fract_x
_atom_site_fract_y
_atom_site_fract_z
_atom_site_occupancy
Y1 Y 0.0000 0.0000 0.0000 1
Pb1 Pb 0.5000 0.0000 0.5000 1
Br1 Br 0.1956 0.5000 0.7629 1
# Total moment in μB/cell: 0.00



Short version: version 1, version 2, most stable first.



Version 1
# ZrBe4, relaxed, DFT GGA-PBE
data_ZrBe4
_chemical_formula_sum 'Zr2 Be8'
_symmetry_space_group_name_H-M 'I 4/m m m'
_symmetry_Int_Tables_number 139
_symmetry_space_group_name_Hall '-I 4 2'
_cell_length_a 3.6015
_cell_length_b 3.6015
_cell_length_c 8.6324
_cell_angle_alpha 90.00
_cell_angle_beta 90.00
_cell_angle_gamma 90.00
loop_
_atom_site_label
_atom_site_type_symbol
_atom_site_fract_x
_atom_site_fract_y
_atom_site_fract_z
_atom_site_occupancy
Zr1 Zr 0.0000 0.0000 0.0000 1
Be1 Be 0.0000 0.0000 0.3782 1
Be2 Be 0.0000 0.5000 0.2500 1
# Total moment in μB/cell: 0.00



Version 2
# ZrBe4, relaxed, DFT GGA-PBE
data_ZrBe4
_chemical_formula_sum 'Zr1 Be4'
_symmetry_space_group_name_H-M 'P m -3 m'
_symmetry_Int_Tables_number 221
_symmetry_space_group_name_Hall '-P 4 2 3'
_cell_length_a 4.6343
_cell_length_b 4.6343
_cell_length_c 4.6343
_cell_angle_alpha 90.00
_cell_angle_beta 90.00
_cell_angle_gamma 90.00
loop_
_atom_site_label
_atom_site_type_symbol
_atom_site_fract_x
_atom_site_fract_y
_atom_site_fract_z
_atom_site_occupancy
Zr1 Zr 0.0000 0.0000 0.0000 1
Be1 Be 0.0000 0.0000 0.5000 1
Be2 Be 0.5000 0.5000 0.5000 1
# Total moment in μB/cell: 0.00



Short version: version 1, version 2, most stable first.



Version 1
# NaAlAsCl2, relaxed, DFT GGA-PBE
data_NaAlAsCl2
_chemical_formula_sum 'Na1 Al1 As1 Cl2'
_symmetry_space_group_name_H-M 'P 4/m m m'
_symmetry_Int_Tables_number 123
_symmetry_space_group_name_Hall '-P 4 2'
_cell_length_a 4.8340
_cell_length_b 4.8340
_cell_length_c 5.8556
_cell_angle_alpha 90.00
_cell_angle_beta 90.00
_cell_angle_gamma 90.00
loop_
_atom_site_label
_atom_site_type_symbol
_atom_site_fract_x
_atom_site_fract_y
_atom_site_fract_z
_atom_site_occupancy
Na1 Na 0.0000 0.0000 0.0000 1
Al1 Al 0.0000 0.0000 0.5000 1
As1 As 0.5000 0.5000 0.5000 1
Cl1 Cl 0.0000 0.5000 0.0000 1
# Total moment in μB/cell: 0.40



Version 2
# NaAlAsCl2, relaxed, DFT GGA-PBE
data_NaAlAsCl2
_chemical_formula_sum 'Na1 Al1 As1 Cl2'
_symmetry_space_group_name_H-M 'P 4/m m m'
_symmetry_Int_Tables_number 123
_symmetry_space_group_name_Hall '-P 4 2'
_cell_length_a 5.6426
_cell_length_b 5.6426
_cell_length_c 4.8375
_cell_angle_alpha 90.00
_cell_angle_beta 90.00
_cell_angle_gamma 90.00
loop_
_atom_site_label
_atom_site_type_symbol
_atom_site_fract_x
_atom_site_fract_y
_atom_site_fract_z
_atom_site_occupancy
Na1 Na 0.0000 0.0000 0.0000 1
Al1 Al 0.5000 0.5000 0.0000 1
As1 As 0.5000 0.5000 0.5000 1
Cl1 Cl 0.0000 0.5000 0.5000 1
# Total moment in μB/cell: 0.00



Short version: version 2, version 1, most stable first.